(1)
# SbHBr2 (PBE-GGA, relaxed)
# * calculated volume: 22.50 A^3/atom
# * polymorph energy (0 for the lowest one): 0.113 eV per atom
data_SbHBr2
_chemical_formula_sum 'Sb1 H1 Br2'
_symmetry_space_group_name_H-M 'P 1'
_symmetry_Int_Tables_number 1
_symmetry_space_group_name_Hall 'P 1'
_cell_length_a 8.498
_cell_length_b 8.498
_cell_length_c 8.498
_cell_angle_alpha 24.11
_cell_angle_beta 24.11
_cell_angle_gamma 24.11
loop_
_atom_site_label
_atom_site_fract_x
_atom_site_fract_y
_atom_site_fract_z
_atom_site_occupancy
Sb1 0.000 0.000 0.000 1
H1 0.500 0.500 0.500 1
Br1 0.111 0.111 0.111 1
Br2 0.889 0.889 0.889 1

---

(2)
# Li2ZrGa2Pt2 (PBE-GGA, relaxed)
# * formation energy from the elements: -628 meV/atom
# * calculated volume: 16.19 A^3/atom
data_Li2ZrGa2Pt2
_chemical_formula_sum 'Li2 Zr1 Ga2 Pt2'
_symmetry_space_group_name_H-M 'P 1'
_symmetry_Int_Tables_number 1
_symmetry_space_group_name_Hall 'P 1'
_cell_length_a 4.405
_cell_length_b 4.405
_cell_length_c 7.243
_cell_angle_alpha 107.74
_cell_angle_beta 107.74
_cell_angle_gamma 59.46
loop_
_atom_site_label
_atom_site_fract_x
_atom_site_fract_y
_atom_site_fract_z
_atom_site_occupancy
Li1 0.088 0.088 0.265 1
Li2 0.912 0.912 0.735 1
Zr1 0.500 0.500 0.500 1
Ga1 0.365 0.365 0.091 1
Ga2 0.635 0.635 0.909 1
Pt1 0.239 0.239 0.716 1
Pt2 0.761 0.761 0.284 1